# PmBe3Ir2

Crystalline PmBe3Ir2 at its relaxed geometry (PBE-GGA, Alexandria).

Summary:
- M_tot (Bohr magnetons per cell) = 0.000
- offset from the most stable computed form (kcal/mol of atoms) = 2.69
- ΔH_f (0 K) (meV/atom) = -475.1
- theoretical density (g cm⁻³) = 10.65
- symmetry = P6/mmm

a b c (Å): 5.2953 5.2953 3.5741
angles (deg): 90.00 90.00 120.00
With the nearest neighbours (Å) after each atom.
Fractional coordinates of all 6 atoms:
Pm: 0.0000 0.0000 0.0000  6 Ir 3.06, 12 Be 3.19
Be: 0.0000 0.5000 0.5000  4 Ir 2.35
Be: 0.5000 0.0000 0.5000  4 Ir 2.35
Be: 0.5000 0.5000 0.5000  4 Ir 2.35
Ir: 0.3333 0.6667 0.0000  6 Be 2.35
Ir: 0.6667 0.3333 0.0000  6 Be 2.35